## TiNiPdO4 (PBE with a Hubbard U)

Data for an optimized crystal structure of TiNiPdO4.

a = 5.7062 Å, b = 6.4500 Å, c = 5.7922 Å
α = 116.68°, β = 90.00°, γ = 116.25°
Closest atoms and distances in Å follow each position.
Element x y z (fractional)
Ti1 0.5000 0.0000 0.5000  6 O 1.97-2.08
Ti2 0.5000 0.0000 0.0000  6 O 1.97-2.08
Ni1 0.8468 0.6935 0.0968  4 O 2.01-2.03
Ni2 0.1532 0.3065 0.9032  4 O 2.01-2.03
Pd1 0.5000 0.5000 0.5000  4 O 2.05
Pd2 0.0000 0.5000 0.5000  4 O 2.05
O1 0.7075 0.4150 0.7018  1 Ni 2.03, 2 Pd 2.05, 1 Ti 2.08
O2 0.2459 0.9516 0.2258  2 Ti 1.97, 1 Ni 2.01
O3 0.7056 0.9516 0.2258  2 Ti 1.97, 1 Ni 2.01
O4 0.7075 0.4150 0.2132  1 Ni 2.03, 2 Pd 2.05, 1 Ti 2.08
O5 0.2925 0.5850 0.7868  1 Ni 2.03, 2 Pd 2.05, 1 Ti 2.08
O6 0.7541 0.0484 0.7742  2 Ti 1.97, 1 Ni 2.01
O7 0.2944 0.0484 0.7742  2 Ti 1.97, 1 Ni 2.01
O8 0.2925 0.5850 0.2982  1 Ni 2.03, 2 Pd 2.05, 1 Ti 2.08

Results
DFT total energy ... -6.565 eV per atom
Magnetization ... 2.0 μB/f.u.